{
  "formula": "CrBiI3",
  "functional": "PBE",
  "state": "optimized geometry",
  "dos_ef_per_ev_fu": 2.6,
  "m_tot_mub_per_atom": 0.856,
  "raw_formation_energy_ev_per_atom": 0.138,
  "final_energy_ry_per_atom": -0.25675,
  "sg": "Pm-3m, No. 221",
  "polymorph_energy_ev_per_fu": 0.00,
  "lattice": [[-1.991, 1.996, -4.752], [0.830, -4.904, -2.407], [-5.087, -1.581, 1.467]],
  "species": ["I", "I", "I", "Cr", "Bi"],
  "fractional_positions": [[0.000, 0.500, 0.000], [0.000, 0.000, 0.500], [0.500, 0.000, 0.000], [0.000, 0.000, 0.000], [0.500, 0.500, 0.500]]
}

***

{
  "formula": "Cr2BiI",
  "functional": "PBE",
  "state": "optimized geometry",
  "dos_ef_per_ev_fu": 0.9,
  "m_tot_mub_per_atom": 2.000,
  "raw_formation_energy_ev_per_atom": 0.553,
  "final_energy_ry_per_atom": -0.41282,
  "sg": "I-42d, No. 122",
  "polymorph_energy_ev_per_fu": 0.00,
  "lattice": [[-4.836, 4.429, -3.141], [-4.704, -1.317, 5.386], [-3.103, 5.008, 3.422]],
  "species": ["Cr", "Cr", "Cr", "Cr", "I", "I", "Bi", "Bi"],
  "fractional_positions": [[0.632, 0.125, 0.250], [0.118, 0.625, 0.250], [0.875, 0.882, 0.750], [0.375, 0.368, 0.750], [0.500, 0.500, 0.000], [0.250, 0.750, 0.500], [0.750, 0.250, 0.500], [0.000, 0.000, 0.000]]
}

***

{
  "formula": "Cr3BiI",
  "functional": "PBE",
  "state": "optimized geometry",
  "dos_ef_per_ev_fu": 5.1,
  "m_tot_mub_per_atom": 2.796,
  "raw_formation_energy_ev_per_atom": 1.258,
  "final_energy_ry_per_atom": -0.41176,
  "sg": "Pm-3m, No. 221",
  "polymorph_energy_ev_per_fu": 0.98,
  "lattice": [[5.267, 0.000, 0.000], [0.000, 5.267, 0.000], [0.000, 0.000, 5.267]],
  "species": ["Bi", "I", "Cr", "Cr", "Cr"],
  "fractional_positions": [[0.500, 0.500, 0.500], [0.000, 0.000, 0.000], [0.000, 0.500, 0.000], [0.000, 0.000, 0.500], [0.500, 0.000, 0.000]]
}